Density functional theory data (SCAN) for a PBEsol-optimized structure of Cu2OsPt.

Properties
Its space group is Pmm2, No. 25. For the formation energy, the calculation gives 0.188 eV per atom. For the offset from the most stable computed form, the calculation gives 58 meV per atom. The total magnetization is 0.000 μB per formula unit.

a b c (Å): 2.6330 3.8101 5.2428
angles (deg): 90.00 90.00 90.00
Fractional positions:
Cu (0.0000, 0.0000, 0.0000)
Cu (0.5000, 0.5000, 0.2301)
Os (0.0000, 0.0000, 0.4886)
Pt (0.5000, 0.5000, 0.7330)


Density functional theory data (SCAN) for a PBEsol-optimized structure of Cu2OsPt.

Properties
Its space group is Imm2, No. 44. For the formation energy, the calculation gives 0.287 eV per atom. For the offset from the most stable computed form, the calculation gives 156 meV per atom. The total magnetization is 0.001 μB per formula unit.

a b c (Å): 5.0714 5.0714 5.0714
angles (deg): 149.06 128.64 61.18
Fractional positions:
Cu (0.0000, 0.0000, 0.0000)
Cu (0.7682, 0.2682, 0.5000)
Os (0.2541, 0.7541, 0.5000)
Pt (0.5148, 0.5148, 0.0000)


Density functional theory data (SCAN) for a PBEsol-optimized structure of CuOsPt2.

Properties
Its space group is R-3m, No. 166. For the formation energy, the calculation gives 0.045 eV per atom. The total magnetization is 0.000 μB per formula unit.

a b c (Å): 8.8180 8.8180 8.8180
angles (deg): 17.77 17.77 17.77
Fractional positions:
Cu (0.0000, 0.0000, 0.0000)
Os (0.5000, 0.5000, 0.5000)
Pt (0.2517, 0.2517, 0.2517)
Pt (0.7483, 0.7483, 0.7483)


Density functional theory data (SCAN) for a PBEsol-optimized structure of Cu2OsPt.

Properties
Its space group is P4mm, No. 99. For the formation energy, the calculation gives 0.131 eV per atom. For the offset from the most stable computed form, the calculation gives 0 meV per atom. The total magnetization is 0.000 μB per formula unit.

a b c (Å): 2.6969 2.6969 7.1166
angles (deg): 90.00 90.00 90.00
Fractional positions:
Cu (0.0000, 0.0000, 0.0000)
Cu (0.5000, 0.5000, 0.2241)
Os (0.0000, 0.0000, 0.4746)
Pt (0.5000, 0.5000, 0.7410)